Ba2Fe2O5 | meta-GGA SCAN | PBEsol geometry

Computed properties:
**Raw formation energy**: -2.256 eV/atom
**Magnetization**: 0.04 μB per formula unit
**E_tot**: -18.54 eV/atom
**SG**: Imma, No. 74

Lattice parameters (Å, degrees): 5.7059 5.7397 8.7691 109.10 108.99 90.00
With the nearest neighbours (Å) after each atom.
Atoms (fractional coordinates):
Ba: 0.6276 0.6146 0.2361  9 O 2.65-2.89
Ba: 0.3915 0.3854 0.7639  9 O 2.65-2.89
Ba: 0.1276 0.1215 0.2361  9 O 2.65-2.89
Ba: 0.8915 0.8785 0.7639  9 O 2.65-2.89
O: 0.7545 0.7450 0.9899  2 Fe 2.02-2.03
O: 0.7646 0.2550 0.0101  2 Fe 2.02-2.03
O: 0.2545 0.7450 0.9899  2 Fe 2.02-2.03
O: 0.2646 0.2550 0.0101  2 Fe 2.02-2.03
O: 0.1486 0.6839 0.2780  1 Fe 1.80
O: 0.8705 0.3161 0.7220  1 Fe 1.80
O: 0.6486 0.0941 0.2780  1 Fe 1.80
O: 0.3705 0.9059 0.7220  1 Fe 1.80
O: 0.5095 0.5000 0.5000  2 Fe 1.85
O: 0.0095 0.5000 0.5000  2 Fe 1.85
Fe: 0.0096 0.5000 0.0000  6 O 2.02-2.18
Fe: 0.5096 0.0000 0.0000  6 O 2.02-2.18
Fe: 0.2596 0.7042 0.5000  4 O 1.80-1.85
Fe: 0.7596 0.2958 0.5000  4 O 1.80-1.85



BaFe2S2O | meta-GGA SCAN | PBEsol geometry

Computed properties:
**Raw formation energy**: -1.450 eV/atom
**Magnetization**: 8.00 μB per formula unit
**E_tot**: -18.33 eV/atom
**SG**: Pmmn, No. 59

Lattice parameters (Å, degrees): 3.8562 6.4670 9.4509 90.00 90.00 90.00
With the nearest neighbours (Å) after each atom.
Atoms (fractional coordinates):
Ba: 0.5000 0.0034 0.5000  2 O 2.62
Ba: 0.0000 0.9966 0.0000  2 O 2.62
Fe: 0.5000 0.3880 0.1829  1 O 1.88
Fe: 0.0000 0.6120 0.6829  1 O 1.88
Fe: 0.5000 0.3880 0.8171  1 O 1.88
Fe: 0.0000 0.6120 0.3171  1 O 1.88
S: 0.5000 0.7418 0.7918  3 Fe 2.30-2.34
S: 0.5000 0.7418 0.2082  3 Fe 2.30-2.34
S: 0.0000 0.2582 0.2918  3 Fe 2.30-2.34
S: 0.0000 0.2582 0.7082  3 Fe 2.30-2.34
O: 0.5000 0.2717 0.0000  2 Fe 1.88
O: 0.0000 0.7283 0.5000  2 Fe 1.88